1.
Material: PmPrPu2As4
Method: DFT, PBE
State: relaxed

Cell lengths 7.2681, 4.2095, 7.2795 Å; angles 90.00, 109.53, 90.00 degrees
Element x y z (fractional)
1 Pm 0.0000 0.0000 0.0000
2 Pr 0.0000 0.5000 0.5000
3 Pu 0.5000 0.0000 0.5000
4 Pu 0.5000 0.5000 0.0000
5 As 0.2608 0.5000 0.2522
6 As 0.2624 0.0000 0.7569
7 As 0.7376 0.0000 0.2431
8 As 0.7392 0.5000 0.7478

- space group = P2/m, No. 10
- energy of formation from the pure elements (eV per atom) = -1.235
- ρ (Mg/m³) = 8.5
- E_tot (eV per cell) = -66.67

---

2.
Material: Ac3Mg2Zn3
Method: DFT, PBE
State: relaxed

Cell lengths 11.2168, 11.2168, 11.2168 Å; angles 160.06, 151.46, 35.06 degrees
Element x y z (fractional)
1 Ac 0.0000 0.0000 0.0000
2 Ac 0.3733 0.8733 0.5000
3 Ac 0.6267 0.1267 0.5000
4 Mg 0.2321 0.2321 0.0000
5 Mg 0.7679 0.7679 0.0000
6 Zn 0.1297 0.6297 0.5000
7 Zn 0.5000 0.5000 0.0000
8 Zn 0.8703 0.3703 0.5000

- space group = Immm, No. 71
- energy of formation from the pure elements (eV per atom) = -0.144
- ρ (Mg/m³) = 6.7
- E_tot (eV per cell) = -20.49

---

3.
Material: CsInNiPd2
Method: DFT, PBE
State: relaxed

Cell lengths 5.3329, 5.3329, 4.9018 Å; angles 90.00, 90.00, 90.00 degrees
Element x y z (fractional)
1 Cs 0.0000 0.0000 0.0000
2 In 0.5000 0.5000 0.5000
3 Ni 0.0000 0.0000 0.5000
4 Pd 0.0000 0.5000 0.0000
5 Pd 0.5000 0.0000 0.0000

- space group = P4/mmm, No. 123
- energy of formation from the pure elements (eV per atom) = 1.371
- ρ (Mg/m³) = 6.2
- E_tot (eV per cell) = -12.91

---

4.
Material: Pm7SmCo2
Method: DFT, PBE
State: relaxed

Cell lengths 8.4408, 8.4408, 5.1610 Å; angles 90.00, 90.00, 117.40 degrees
Element x y z (fractional)
1 Pm 0.0000 0.0000 0.0000
2 Pm 0.1726 0.4462 0.0000
3 Pm 0.2066 0.7934 0.5000
4 Pm 0.4462 0.1726 0.0000
5 Pm 0.5538 0.8274 0.0000
6 Pm 0.7934 0.2066 0.5000
7 Pm 0.8274 0.5538 0.0000
8 Sm 0.5000 0.5000 0.5000
9 Co 0.1961 0.8039 0.0000
10 Co 0.8039 0.1961 0.0000

- space group = Cmmm, No. 65
- energy of formation from the pure elements (eV per atom) = 0.137
- ρ (Mg/m³) = 6.5
- E_tot (eV per cell) = -50.81